1.
# Dy12Er7Tl

A geometry-optimized Dy12Er7Tl structure (PBE, Alexandria via LeMat-Bulk).

The structure belongs to space group R-3 (No. 148, hexagonal axes); the cell edges are 11.9259, 11.9259 and 15.4228 Å and the angles 90.00°, 90.00° and 120.00°. The distinct sites, in fractional coordinates, are Dy at (0.0325, 0.4552, 0.2132), Dy at (0.0555, 0.5861, 0.5854), Er at (0.0000, 0.0000, 0.0000), Er at (0.0535, 0.1882, 0.2988) and Tl at (0.0000, 0.0000, 0.5000).

The calculation puts the formation energy at 182 meV per atom.

2.
# TmThN

A geometry-optimized TmThN structure (PBE, Alexandria via LeMat-Bulk).

The structure belongs to space group P3m1 (No. 156); the cell edges are 3.5087, 3.5087 and 6.2048 Å and the angles 90.00°, 90.00° and 120.00°. The distinct sites, in fractional coordinates, are Tm at (0.0000, 0.0000, 0.0000), Th at (0.6667, 0.3333, 0.5497) and N at (0.3333, 0.6667, 0.8057).

The raw formation energy is -91 kJ per mole of atoms. For the relative energy among the computed polymorphs, the calculation gives 0 meV/atom.

3.
# Ce2ScSi3Pt4

A geometry-optimized Ce2ScSi3Pt4 structure (PBE, Alexandria via LeMat-Bulk).

The structure belongs to space group P-4m2 (No. 115); the cell edges are 4.202, 4.202 and 10.629 Å and the angles 90.00°, 90.00° and 90.00°. The distinct sites, in fractional coordinates, are Ce at (0.000, 0.500, 0.237), Sc at (0.000, 0.000, 0.500), Si at (0.000, 0.500, 0.874), Si at (0.500, 0.500, 0.500), Pt at (0.000, 0.000, 0.000), Pt at (0.000, 0.500, 0.648) and Pt at (0.500, 0.500, 0.000).

The raw formation energy is -104 kJ per mole of atoms.

4.
# CdCu2Hg

A geometry-optimized CdCu2Hg structure (PBE, Alexandria via LeMat-Bulk).

The structure belongs to space group C2/m (No. 12); the cell edges are 8.955, 2.951 and 5.259 Å and the angles 90.00°, 99.33° and 90.00°. The distinct sites, in fractional coordinates, are Cd at (0.000, 0.000, 0.000), Cu at (0.249, 0.500, 0.236) and Hg at (0.000, 0.500, 0.500).

The calculation puts the formation energy at 205 meV per atom.

5.
# Al2Tl

A geometry-optimized Al2Tl structure (PBE, Alexandria via LeMat-Bulk).

The structure belongs to space group C2/m (No. 12); the cell edges are 12.145, 3.061 and 7.469 Å and the angles 90.00°, 106.55° and 90.00°. The distinct sites, in fractional coordinates, are Al at (0.033, 0.000, 0.202), Al at (0.158, 0.500, 0.017) and Tl at (0.149, 0.500, 0.595).

For the relative energy among the computed polymorphs, the calculation gives 0 meV/atom. The calculation puts the formation energy at 176 meV per atom.

6.
# BaOsW2

A geometry-optimized BaOsW2 structure (PBE, Alexandria via LeMat-Bulk).

The structure belongs to space group C2/m (No. 12); the cell edges are 5.779, 9.684 and 2.887 Å and the angles 90.00°, 108.78° and 90.00°. The distinct sites, in fractional coordinates, are Ba at (0.000, 0.000, 0.000), Os at (0.000, 0.500, 0.000) and W at (0.250, 0.250, 0.500).

For the relative energy among the computed polymorphs, the calculation gives 736 meV/atom. The calculation puts the formation energy at 1530 meV per atom.

7.
# ThZr3Pt2

A geometry-optimized ThZr3Pt2 structure (PBE, Alexandria via LeMat-Bulk).

The structure belongs to space group C2/m (No. 12); the cell edges are 15.885, 4.666 and 8.521 Å and the angles 90.00°, 122.17° and 90.00°. The distinct sites, in fractional coordinates, are Th at (0.125, 0.000, 0.061), Zr at (0.058, 0.000, 0.398), Zr at (0.117, 0.500, 0.690), Zr at (0.209, 0.500, 0.389), Pt at (0.010, 0.500, 0.177) and Pt at (0.227, 0.000, 0.863).

The calculation puts the formation energy at -672 meV per atom.

8.
# Mg6Tl2Ir

A geometry-optimized Mg6Tl2Ir structure (PBE, Alexandria via LeMat-Bulk).

The structure belongs to space group P-62m (No. 189); the cell edges are 8.2032, 8.2032 and 3.3133 Å and the angles 90.00°, 90.00° and 120.00°. The distinct sites, in fractional coordinates, are Mg at (0.0000, 0.3503, 0.0000), Mg at (0.0000, 0.7418, 0.5000), Tl at (0.3333, 0.6667, 0.5000) and Ir at (0.0000, 0.0000, 0.0000).

For the relative energy among the computed polymorphs, the calculation gives 0 meV/atom. The calculation puts the formation energy at -180 meV per atom.

9.
# CdSi2Rh

A geometry-optimized CdSi2Rh structure (PBE, Alexandria via LeMat-Bulk).

The structure belongs to space group I-4m2 (No. 119); the cell edges are 3.958, 3.958 and 8.036 Å and the angles 90.00°, 90.00° and 90.00°. The distinct sites, in fractional coordinates, are Cd at (0.000, 0.000, 0.000), Si at (0.000, 0.000, 0.500), Si at (0.000, 0.500, 0.250) and Rh at (0.000, 0.500, 0.750).

The raw formation energy is 16 kJ per mole of atoms.

10.
# GaPb3C

A geometry-optimized GaPb3C structure (PBE, Alexandria via LeMat-Bulk).

The structure belongs to space group Pm-3m (No. 221); the cell edges are 5.499, 5.499 and 5.499 Å and the angles 90.00°, 90.00° and 90.00°. The distinct sites, in fractional coordinates, are Ga at (0.000, 0.000, 0.000), Pb at (0.000, 0.000, 0.500) and C at (0.500, 0.500, 0.500).

For the relative energy among the computed polymorphs, the calculation gives 685 meV/atom. The calculation puts the formation energy at 1627 meV per atom.

11.
# PmNd2Ru2

A geometry-optimized PmNd2Ru2 structure (PBE, Alexandria via LeMat-Bulk).

The structure belongs to space group C2/c (No. 15); the cell edges are 10.879, 5.924 and 8.216 Å and the angles 90.00°, 106.06° and 90.00°. The distinct sites, in fractional coordinates, are Pm at (0.000, 0.109, 0.250), Nd at (0.152, 0.369, 0.647) and Ru at (0.150, 0.161, 0.022).

The calculation puts the formation energy at -157 meV per atom.

12.
# ScIn2Pd2

A geometry-optimized ScIn2Pd2 structure (PBE, Alexandria via LeMat-Bulk).

The structure belongs to space group R-3m (No. 166, hexagonal axes); the cell edges are 4.7348, 4.7348 and 14.7262 Å and the angles 90.00°, 90.00° and 120.00°. The distinct sites, in fractional coordinates, are Sc at (0.0000, 0.0000, 0.0000), In at (0.0000, 0.0000, 0.2178) and Pd at (0.0000, 0.0000, 0.4061).

For the relative energy among the computed polymorphs, the calculation gives 74 meV/atom. The calculation puts the formation energy at -590 meV per atom.

| no. | D(E_F) (states/eV per cell) |
| --- | --- |
| 1 | 98.35 |
| 2 | 1.57 |
| 3 | 12.74 |
| 4 | 2.29 |
| 5 | 3.86 |
| 6 | 9.78 |
| 7 | 18.40 |
| 8 | 1.82 |
| 9 | 3.24 |
| 10 | 2.80 |
| 11 | 17.20 |
| 12 | 7.39 |